(1)
SnHPdPb2 | PBE-GGA | relaxed

a b c (Å): 5.693 5.693 3.442
angles (deg): 90.00 90.00 90.00
Positions (direct):
Sn  0.000  0.000  0.000
H  0.500  0.500  0.000
Pd  0.500  0.500  0.500
Pb  0.000  0.500  0.500
Pb  0.500  0.000  0.500

For the total DFT energy (no corrections), the calculation gives -3.967 eV per atom. As for the crystal system: tetragonal. The density comes out at 9.5 g/cm³. Its space-group type is P4/mmm (123).

***

(2)
NbHRh3 | PBE-GGA | relaxed

a b c (Å): 4.855 4.855 8.071
angles (deg): 114.50 114.50 47.61
Positions (direct):
Nb  0.132  0.132  0.191
Nb  0.868  0.868  0.809
H  0.122  0.122  0.462
H  0.878  0.878  0.538
Rh  0.129  0.129  0.699
Rh  0.375  0.375  0.059
Rh  0.375  0.375  0.564
Rh  0.625  0.625  0.436
Rh  0.625  0.625  0.941
Rh  0.871  0.871  0.301

For the total DFT energy (no corrections), the calculation gives -7.359 eV per atom. As for the crystal system: monoclinic. The density comes out at 10.7 g/cm³. Its space-group type is C2/m (12).

***

(3)
Y3Si2 | PBE-GGA | relaxed

a b c (Å): 5.815 5.815 5.815
angles (deg): 136.23 114.77 81.89
Positions (direct):
Y  0.000  0.000  0.000
Y  0.301  0.801  0.500
Y  0.699  0.199  0.500
Si  0.303  0.500  0.803
Si  0.697  0.500  0.197

As for the raw formation energy: -0.662 eV per atom. For the total DFT energy (no corrections), the calculation gives -6.710 eV per atom. As for the crystal system: orthorhombic. The density comes out at 4.5 g/cm³. Its space-group type is Immm (71).

***

(4)
Sr3Si2Hg2Au4 | PBE-GGA | relaxed

a b c (Å): 14.211 14.211 14.211
angles (deg): 161.15 161.15 26.78
Positions (direct):
Sr  0.000  0.000  0.000
Sr  0.166  0.166  0.000
Sr  0.834  0.834  0.000
Si  0.387  0.387  0.000
Si  0.613  0.613  0.000
Hg  0.283  0.283  0.000
Hg  0.717  0.717  0.000
Au  0.083  0.583  0.500
Au  0.417  0.917  0.500
Au  0.583  0.083  0.500
Au  0.917  0.417  0.500

As for the raw formation energy: -0.441 eV per atom. For the total DFT energy (no corrections), the calculation gives -3.132 eV per atom. As for the crystal system: tetragonal. The density comes out at 8.4 g/cm³. Its space-group type is I4/mmm (139).

***

Number 1: total magnetic moment 0.00 μB/atom. Number 2: total magnetic moment 0.00 μB/atom. Number 3: total magnetic moment 0.00 μB/atom. Number 4: total magnetic moment 0.00 μB/atom.